1.
Compound: NpAlGe2
Source: the Alexandria database
Functional: PBE-GGA
Structure: relaxed

```
NpAlGe2
1.0
2.315 1.337 6.954
-2.315 1.337 6.954
0.000 -2.674 6.954
Np Al Ge
1 1 2
Direct
0.000 0.000 0.000 Np
0.500 0.500 0.500 Al
0.385 0.385 0.385 Ge
0.615 0.615 0.615 Ge
```

Output
Raw total energy ... -5.78 eV/atom



2.
Compound: Ba3PaZn2O6
Source: the Alexandria database
Functional: PBE-GGA
Structure: relaxed

```
Ba3PaZn2O6
1.0
6.086 0.000 0.000
-3.043 5.270 0.000
0.000 0.000 7.228
Ba Pa Zn O
3 1 2 6
Direct
0.000 0.000 0.000 Ba
0.333 0.667 0.648 Ba
0.667 0.333 0.352 Ba
0.000 0.000 0.500 Pa
0.333 0.667 0.163 Zn
0.667 0.333 0.837 Zn
0.167 0.334 0.323 O
0.167 0.833 0.323 O
0.334 0.167 0.677 O
0.666 0.833 0.323 O
0.833 0.167 0.677 O
0.833 0.666 0.677 O
```

Output
Formation energy without anion corrections ... -2.4040 eV per atom



3.
Compound: Pm2DyYTl2
Source: the Alexandria database
Functional: PBE-GGA
Structure: relaxed

```
Pm2DyYTl2
1.0
5.153 0.000 0.000
0.000 10.162 0.000
0.000 0.000 6.873
Pm Dy Y Tl
4 2 2 4
Direct
0.000 0.043 0.000 Pm
0.000 0.957 0.500 Pm
0.500 0.187 0.272 Pm
0.500 0.813 0.772 Pm
0.000 0.316 0.624 Dy
0.000 0.684 0.124 Dy
0.500 0.458 0.904 Y
0.500 0.542 0.404 Y
0.000 0.373 0.160 Tl
0.000 0.627 0.660 Tl
0.500 0.142 0.743 Tl
0.500 0.858 0.243 Tl
```

Output
Raw total energy ... -4.50 eV/atom



Number 1: mass density 5.263 g/cm³. Number 2: mass density 6.231 g/cm³. Number 3: mass density 8.767 g/cm³.